# 1
Ca3Zn3In: optimized geometry, PBE.

## Properties
Crystal system = monoclinic

a = 6.1265 Å, b = 6.1265 Å, c = 14.9283 Å
α = 108.08°, β = 108.08°, γ = 43.40°
Sites, in units of the cell vectors:
Ca 0.0260 0.0260 0.3803
Ca 0.1085 0.1085 0.9236
Ca 0.2448 0.2448 0.2260
Ca 0.7552 0.7552 0.7740
Ca 0.8915 0.8915 0.0764
Ca 0.9740 0.9740 0.6197
Zn 0.3809 0.3809 0.4586
Zn 0.4016 0.4016 0.9232
Zn 0.4643 0.4643 0.7714
Zn 0.5357 0.5357 0.2286
Zn 0.5984 0.5984 0.0768
Zn 0.6191 0.6191 0.5414
In 0.2570 0.2570 0.6010
In 0.7430 0.7430 0.3990


# 2
Ca3Zn2In: optimized geometry, PBE.

## Properties
Crystal system = orthorhombic

a = 5.2331 Å, b = 15.6290 Å, c = 3.8546 Å
α = 90.00°, β = 90.00°, γ = 90.00°
Sites, in units of the cell vectors:
Ca 0.0000 0.0000 0.0000
Ca 0.0000 0.3283 0.0000
Ca 0.0000 0.6717 0.0000
Ca 0.5000 0.1717 0.0000
Ca 0.5000 0.5000 0.0000
Ca 0.5000 0.8283 0.0000
Zn 0.0000 0.1616 0.5000
Zn 0.0000 0.8384 0.5000
Zn 0.5000 0.3384 0.5000
Zn 0.5000 0.6616 0.5000
In 0.0000 0.5000 0.5000
In 0.5000 0.0000 0.5000


# 3
Ca3ZnIn12: optimized geometry, PBE.

## Properties
Crystal system = tetragonal

a = 4.7415 Å, b = 4.7415 Å, c = 18.4438 Å
α = 90.00°, β = 90.00°, γ = 90.00°
Sites, in units of the cell vectors:
Ca 0.0000 0.0000 0.0000
Ca 0.0000 0.0000 0.2546
Ca 0.0000 0.0000 0.7454
Zn 0.0000 0.0000 0.5000
In 0.0000 0.5000 0.1271
In 0.0000 0.5000 0.3855
In 0.0000 0.5000 0.6145
In 0.0000 0.5000 0.8729
In 0.5000 0.0000 0.1271
In 0.5000 0.0000 0.3855
In 0.5000 0.0000 0.6145
In 0.5000 0.0000 0.8729
In 0.5000 0.5000 0.0000
In 0.5000 0.5000 0.2506
In 0.5000 0.5000 0.5000
In 0.5000 0.5000 0.7494


Number 1: N(E_F) 0.6999 states/eV/atom, formation enthalpy at 0 K -27.8 kJ/mol of atoms. Number 2: N(E_F) 0.4336 states/eV/atom, formation enthalpy at 0 K -30.7 kJ/mol of atoms. Number 3: N(E_F) 0.5075 states/eV/atom, formation enthalpy at 0 K -20.3 kJ/mol of atoms.